No. 1
MnGaCoSe2 after structural relaxation, computed with PBE.

Cell and atoms, written as POSCAR:
```
MnGaCoSe2
1.0
5.611 0.000 -0.029
0.000 3.226 0.000
-2.685 0.000 5.085
Mn Ga Co Se
1 1 1 2
direct
0.525 0.000 0.327 Mn
0.936 0.500 0.535 Ga
0.396 0.500 0.618 Co
0.562 0.000 0.924 Se
0.177 0.500 0.163 Se
```

Volume ... 91.8 Å³/f.u.
Excess energy over the best structure of this formula in the dataset ... 9.0 kJ/mol of atoms
Density of states at the Fermi level ... 4.458 states/eV per cell
Energy relative to the elements, uncorrected ... -0.11 eV/atom
Space-group type ... No. 6
Calculated total energy ... -26.8 eV for the cell shown

***

No. 2
AlSi3B after structural relaxation, computed with PBE.

Cell and atoms, written as POSCAR:
```
AlSi3B
1.0
-2.140 2.486 3.354
-1.916 -3.933 1.694
3.710 -0.598 2.809
Si B Al
3 1 1
direct
0.000 0.500 0.000 Si
0.000 0.000 0.500 Si
0.500 0.000 0.000 Si
0.500 0.500 0.500 B
0.000 0.000 0.000 Al
```

Volume ... 103.3 Å³/f.u.
Excess energy over the best structure of this formula in the dataset ... 104.7 kJ/mol of atoms
Density of states at the Fermi level ... 3.830 states/eV per cell
Energy relative to the elements, uncorrected ... 1.74 eV/atom
Space-group type ... No. 221
Calculated total energy ... -18.0 eV for the cell shown

***

No. 3
Cd3SiC after structural relaxation, computed with PBE.

Cell and atoms, written as POSCAR:
```
Cd3SiC
1.0
4.618 0.000 0.000
0.000 4.618 0.000
0.000 0.000 4.618
Si C Cd
1 1 3
direct
0.500 0.500 0.500 Si
0.000 0.000 0.000 C
0.000 0.500 0.000 Cd
0.000 0.000 0.500 Cd
0.500 0.000 0.000 Cd
```

Volume ... 98.5 Å³/f.u.
Excess energy over the best structure of this formula in the dataset ... 0.0 kJ/mol of atoms
Density of states at the Fermi level ... 4.439 states/eV per cell
Energy relative to the elements, uncorrected ... 0.99 eV/atom
Space-group type ... No. 221
Calculated total energy ... -12.4 eV for the cell shown

***

No. 4
SrMnW3 after structural relaxation, computed with PBE.

Cell and atoms, written as POSCAR:
```
SrMnW3
1.0
4.698 0.000 0.000
0.000 4.698 0.000
0.000 0.000 4.698
Sr Mn W
1 1 3
direct
0.000 0.000 0.000 Sr
0.500 0.500 0.500 Mn
0.000 0.500 0.000 W
0.000 0.000 0.500 W
0.500 0.000 0.000 W
```

Volume ... 103.7 Å³/f.u.
Excess energy over the best structure of this formula in the dataset ... 258.2 kJ/mol of atoms
Density of states at the Fermi level ... 10.375 states/eV per cell
Energy of formation ... 4.0335 eV/atom
Space-group type ... No. 221
Calculated total energy ... -29.5 eV for the cell shown

***

No. 5
PS3Br after structural relaxation, computed with PBE.

Cell and atoms, written as POSCAR:
```
PS3Br
1.0
6.577 -0.237 0.016
-0.090 6.919 0.375
-0.025 0.752 7.879
P S Br
2 6 2
direct
0.723 0.789 0.338 P
0.213 0.565 0.760 P
0.535 0.603 0.736 S
0.701 0.011 0.163 S
0.071 0.495 0.533 S
0.041 0.747 0.362 S
0.167 0.344 0.937 S
0.593 0.856 0.568 S
0.588 0.499 0.296 Br
0.112 0.857 0.800 Br
```

Volume ... 178.3 Å³/f.u.
Excess energy over the best structure of this formula in the dataset ... 0.0 kJ/mol of atoms
Density of states at the Fermi level ... 0.000 states/eV per cell
Energy relative to the elements, uncorrected ... -0.16 eV/atom
Space-group type ... No. 1
Calculated total energy ... -40.5 eV for the cell shown

***

No. 6
SrHOsRh2 after structural relaxation, computed with PBE.

Cell and atoms, written as POSCAR:
```
SrHOsRh2
1.0
5.062 0.000 0.000
0.000 3.160 0.000
0.000 0.000 5.062
Rh Os H Sr
2 1 1 1
direct
0.000 0.000 0.500 Rh
0.500 0.000 0.000 Rh
0.500 0.500 0.500 Os
0.000 0.500 0.000 H
0.000 0.000 0.000 Sr
```

Volume ... 81.0 Å³/f.u.
Density of states at the Fermi level ... 5.837 states/eV per cell
Space-group type ... No. 123
Calculated total energy ... -22.0 eV for the cell shown

***

No. 7
NaTmAg2 after structural relaxation, computed with PBE.

Cell and atoms, written as POSCAR:
```
NaTmAg2
1.0
-0.363 3.033 1.708
-3.095 0.871 1.381
1.232 -2.923 9.038
Na Tm Ag
1 1 2
direct
0.500 0.500 0.500 Na
0.000 0.000 0.000 Tm
0.746 0.746 0.762 Ag
0.254 0.254 0.238 Ag
```

Volume ... 99.3 Å³/f.u.
Excess energy over the best structure of this formula in the dataset ... 15.9 kJ/mol of atoms
Density of states at the Fermi level ... 2.368 states/eV per cell
Energy of formation ... 0.0111 eV/atom
Space-group type ... No. 166
Calculated total energy ... -11.4 eV for the cell shown

***

No. 8
NaSbPt2 after structural relaxation, computed with PBE.

Cell and atoms, written as POSCAR:
```
NaSbPt2
1.0
3.964 0.000 0.000
0.000 4.234 0.000
0.000 0.000 4.234
Sb Pt Na
1 2 1
direct
0.500 0.500 0.500 Sb
0.000 0.000 0.500 Pt
0.000 0.500 0.000 Pt
0.500 0.000 0.000 Na
```

Volume ... 71.1 Å³/f.u.
Density of states at the Fermi level ... 2.721 states/eV per cell
Energy relative to the elements, uncorrected ... -0.25 eV/atom
Space-group type ... No. 123
Calculated total energy ... -18.5 eV for the cell shown